[1]
## Ca2CuIrN (GGA-PBE)

Data for a relaxed structure of Ca2CuIrN.

abc: 5.008 5.008 3.789
angles: 90.00 90.00 90.00
Atoms (fractional coordinates):
Ca 0.000 0.500 0.000
Ca 0.500 0.000 0.000
Cu 0.000 0.000 0.500
Ir 0.500 0.500 0.500
N 0.500 0.500 0.000

Summary:
- ΔE_f (raw) (eV/f.u.) = -2.290
- crystal system = tetragonal

---

[2]
## Cd2GaIr2 (GGA-PBE)

Data for a relaxed structure of Cd2GaIr2.

abc: 6.413 6.413 4.410
angles: 90.00 90.00 90.00
Atoms (fractional coordinates):
Cd 0.165 0.335 0.000
Cd 0.335 0.835 0.000
Cd 0.665 0.165 0.000
Cd 0.835 0.665 0.000
Ga 0.000 0.000 0.500
Ga 0.500 0.500 0.500
Ir 0.140 0.640 0.500
Ir 0.360 0.140 0.500
Ir 0.640 0.860 0.500
Ir 0.860 0.360 0.500

Summary:
- energy of formation from the pure elements (eV per atom) = -0.1399
- crystal system = tetragonal

---

[3]
## BiIrI2 (GGA-PBE)

Data for a relaxed structure of BiIrI2.

abc: 5.281 5.281 5.281
angles: 60.00 60.00 60.00
Atoms (fractional coordinates):
Bi 0.000 0.000 0.000
Ir 0.500 0.500 0.500
I 0.250 0.250 0.250
I 0.750 0.750 0.750

Summary:
- ΔE_f (raw) (eV/f.u.) = 3.924
- E above lowest polymorph (meV per atom) = 623
- crystal system = cubic